Material: Na3RuI
Method: DFT, PBE-GGA
State: relaxed

## Properties
Uncorrected energy (eV/atom): -2.267
Fermi-level density of states (states/eV per cell): 33.1
Raw formation energy (eV/atom): 0.6897

Geometry as POSCAR:
```
Na3RuI
1.0
-3.4220 -4.6717 0.2214
1.8993 -1.1374 5.3557
-4.2740 3.2350 2.2027
Ru Na I
1 3 1
Direct
0.5000 0.5000 0.5000 Ru
0.5000 0.0000 0.0000 Na
0.0000 0.5000 0.0000 Na
0.0000 0.0000 0.5000 Na
0.0000 0.0000 0.0000 I
```